## ZnCdP (GGA-PBE)

Data for crystalline ZnCdP at its relaxed geometry.

Calculated values
N(E_F): 1.7 states/eV/cell
theoretical density: 5.5 g cm⁻³
energy above the lowest structure with this stoichiometry: 237 meV/atom
space group: F-43m, No. 216
energy relative to the elements: 317 meV/atom

The structure in CIF format:
```
data_ZnCdP
_cell_length_a 4.468
_cell_length_b 4.468
_cell_length_c 4.468
_cell_angle_alpha 60.00
_cell_angle_beta 60.00
_cell_angle_gamma 60.00
_space_group_name_H-M_alt 'P 1'
_space_group_IT_number 1
loop_
_space_group_symop_operation_xyz
'x,y,z'
loop_
_atom_site_label
_atom_site_fract_x
_atom_site_fract_y
_atom_site_fract_z
Zn1 0.500 0.500 0.500
Cd1 0.750 0.750 0.750
P1 0.000 0.000 0.000
```



## Zn2CdP (GGA-PBE)

Data for crystalline Zn2CdP at its relaxed geometry.

Calculated values
N(E_F): 1.5 states/eV/cell
theoretical density: 5.8 g cm⁻³
energy above the lowest structure with this stoichiometry: 96 meV/atom
space group: Pmm2, No. 25
energy relative to the elements: 160 meV/atom

The structure in CIF format:
```
data_Zn2CdP
_cell_length_a 3.506
_cell_length_b 3.495
_cell_length_c 6.363
_cell_angle_alpha 90.00
_cell_angle_beta 90.00
_cell_angle_gamma 90.00
_space_group_name_H-M_alt 'P 1'
_space_group_IT_number 1
loop_
_space_group_symop_operation_xyz
'x,y,z'
loop_
_atom_site_label
_atom_site_fract_x
_atom_site_fract_y
_atom_site_fract_z
Zn1 0.000 0.000 0.914
Zn2 0.500 0.500 0.250
Cd1 0.000 0.000 0.459
P1 0.500 0.500 0.877
```



## Zn2CdP (GGA-PBE)

Data for crystalline Zn2CdP at its relaxed geometry.

Calculated values
N(E_F): 1.2 states/eV/cell
theoretical density: 6.5 g cm⁻³
energy above the lowest structure with this stoichiometry: 176 meV/atom
space group: P2/m, No. 10
energy relative to the elements: 241 meV/atom

The structure in CIF format:
```
data_Zn2CdP
_cell_length_a 2.920
_cell_length_b 4.686
_cell_length_c 5.804
_cell_angle_alpha 61.71
_cell_angle_beta 90.00
_cell_angle_gamma 90.00
_space_group_name_H-M_alt 'P 1'
_space_group_IT_number 1
loop_
_space_group_symop_operation_xyz
'x,y,z'
loop_
_atom_site_label
_atom_site_fract_x
_atom_site_fract_y
_atom_site_fract_z
Zn1 0.000 0.000 0.000
Zn2 0.500 0.500 0.500
Cd1 0.500 0.500 0.000
P1 0.000 0.000 0.500
```



## Zn2CdP (GGA-PBE)

Data for crystalline Zn2CdP at its relaxed geometry.

Calculated values
N(E_F): 1.0 states/eV/cell
theoretical density: 6.0 g cm⁻³
energy above the lowest structure with this stoichiometry: 38 meV/atom
space group: Pm, No. 6
energy relative to the elements: 103 meV/atom

The structure in CIF format:
```
data_Zn2CdP
_cell_length_a 3.471
_cell_length_b 3.618
_cell_length_c 6.294
_cell_angle_alpha 73.21
_cell_angle_beta 90.00
_cell_angle_gamma 90.00
_space_group_name_H-M_alt 'P 1'
_space_group_IT_number 1
loop_
_space_group_symop_operation_xyz
'x,y,z'
loop_
_atom_site_label
_atom_site_fract_x
_atom_site_fract_y
_atom_site_fract_z
Zn1 0.000 0.515 0.098
Zn2 0.500 0.191 0.742
Cd1 0.000 0.800 0.524
P1 0.500 0.995 0.137
```



## Zn2CdP (GGA-PBE)

Data for crystalline Zn2CdP at its relaxed geometry.

Calculated values
N(E_F): 1.6 states/eV/cell
theoretical density: 6.5 g cm⁻³
energy above the lowest structure with this stoichiometry: 183 meV/atom
space group: Pmmm, No. 47
energy relative to the elements: 248 meV/atom

The structure in CIF format:
```
data_Zn2CdP
_cell_length_a 4.041
_cell_length_b 4.144
_cell_length_c 4.188
_cell_angle_alpha 90.00
_cell_angle_beta 90.00
_cell_angle_gamma 90.00
_space_group_name_H-M_alt 'P 1'
_space_group_IT_number 1
loop_
_space_group_symop_operation_xyz
'x,y,z'
loop_
_atom_site_label
_atom_site_fract_x
_atom_site_fract_y
_atom_site_fract_z
Zn1 0.000 0.000 0.000
Zn2 0.500 0.000 0.500
Cd1 0.500 0.500 0.000
P1 0.000 0.500 0.500
```



## ZnCdP (GGA-PBE)

Data for crystalline ZnCdP at its relaxed geometry.

Calculated values
N(E_F): 1.1 states/eV/cell
theoretical density: 5.2 g cm⁻³
energy above the lowest structure with this stoichiometry: 157 meV/atom
space group: I4mm, No. 107
energy relative to the elements: 237 meV/atom

The structure in CIF format:
```
data_ZnCdP
_cell_length_a 6.015
_cell_length_b 6.015
_cell_length_c 6.015
_cell_angle_alpha 146.18
_cell_angle_beta 146.18
_cell_angle_gamma 48.57
_space_group_name_H-M_alt 'P 1'
_space_group_IT_number 1
loop_
_space_group_symop_operation_xyz
'x,y,z'
loop_
_atom_site_label
_atom_site_fract_x
_atom_site_fract_y
_atom_site_fract_z
Zn1 0.757 0.757 0.000
Cd1 0.003 0.003 0.000
P1 0.240 0.240 0.000
```



## ZnCdP (GGA-PBE)

Data for crystalline ZnCdP at its relaxed geometry.

Calculated values
N(E_F): 1.8 states/eV/cell
theoretical density: 5.6 g cm⁻³
energy above the lowest structure with this stoichiometry: 73 meV/atom
space group: F-43m, No. 216
energy relative to the elements: 153 meV/atom

The structure in CIF format:
```
data_ZnCdP
_cell_length_a 4.453
_cell_length_b 4.453
_cell_length_c 4.453
_cell_angle_alpha 60.00
_cell_angle_beta 60.00
_cell_angle_gamma 60.00
_space_group_name_H-M_alt 'P 1'
_space_group_IT_number 1
loop_
_space_group_symop_operation_xyz
'x,y,z'
loop_
_atom_site_label
_atom_site_fract_x
_atom_site_fract_y
_atom_site_fract_z
Zn1 0.000 0.000 0.000
Cd1 0.500 0.500 0.500
P1 0.750 0.750 0.750
```



## Zn2CdP (GGA-PBE)

Data for crystalline Zn2CdP at its relaxed geometry.

Calculated values
N(E_F): 1.3 states/eV/cell
theoretical density: 6.5 g cm⁻³
energy above the lowest structure with this stoichiometry: 179 meV/atom
space group: P4/mmm, No. 123
energy relative to the elements: 243 meV/atom

The structure in CIF format:
```
data_Zn2CdP
_cell_length_a 3.383
_cell_length_b 3.383
_cell_length_c 6.128
_cell_angle_alpha 90.00
_cell_angle_beta 90.00
_cell_angle_gamma 90.00
_space_group_name_H-M_alt 'P 1'
_space_group_IT_number 1
loop_
_space_group_symop_operation_xyz
'x,y,z'
loop_
_atom_site_label
_atom_site_fract_x
_atom_site_fract_y
_atom_site_fract_z
Zn1 0.000 0.000 0.709
Zn2 0.000 0.000 0.291
Cd1 0.500 0.500 0.000
P1 0.500 0.500 0.500
```